The following is a DFT calculation (PBEsol) of V2CoO6 after structural relaxation.

Properties
DOS at the Fermi energy ... 3.31 states/eV/f.u.
Size of the total moment ... 5.81 μB per cell
Density ... 4.58 g cm⁻³
Energy ... -8.479 eV per atom

a b c (Å): 4.7628 7.0478 8.5499
angles (deg): 101.84 90.04 95.56
With the nearest neighbours (Å) after each atom.
Element x y z (fractional)
1 V 0.0428 0.2893 0.0330  2 O 1.64-1.74
2 V 0.0447 0.2795 0.3915  3 O 1.65-1.83
3 V 0.3948 0.4181 0.7337  4 O 1.71-1.76
4 V 0.6052 0.5819 0.2663  4 O 1.71-1.76
5 V 0.9553 0.7205 0.6085  3 O 1.65-1.83
6 V 0.9572 0.7107 0.9670  2 O 1.64-1.74
7 Co 0.4973 0.0102 0.1589  6 O 1.91-2.08
8 Co 0.5000 0.0000 0.5000  6 O 1.83-1.91
9 Co 0.5027 0.9898 0.8411  6 O 1.91-2.08
10 O 0.1448 0.8054 0.8003  2 V 1.83-1.88, 1 Co 2.03
11 O 0.1622 0.8343 0.1145  1 V 1.64
12 O 0.1718 0.8441 0.5060  1 V 1.65, 1 Co 1.83
13 O 0.2105 0.4778 0.5767  1 V 1.75
14 O 0.2145 0.4814 0.9131  1 V 1.76
15 O 0.2729 0.4619 0.2493  1 V 1.71
16 O 0.3299 0.1523 0.0176  1 V 1.74, 2 Co 1.93-1.94
17 O 0.3356 0.1393 0.3643  1 V 1.77, 1 Co 1.88
18 O 0.3960 0.1695 0.6901  1 V 1.72, 1 Co 1.91
19 O 0.6040 0.8305 0.3099  1 V 1.72, 1 Co 1.91
20 O 0.6644 0.8607 0.6357  1 V 1.77, 1 Co 1.88
21 O 0.6701 0.8477 0.9824  1 V 1.74, 2 Co 1.93-1.94
22 O 0.7271 0.5381 0.7507  1 V 1.71
23 O 0.7855 0.5186 0.0869  1 V 1.76
24 O 0.7895 0.5222 0.4233  1 V 1.75
25 O 0.8282 0.1559 0.4940  1 V 1.65, 1 Co 1.83
26 O 0.8378 0.1657 0.8855  1 V 1.64
27 O 0.8552 0.1946 0.1997  2 V 1.83-1.88, 1 Co 2.03

***

The following is a DFT calculation (PBEsol) of NaBrN2O after structural relaxation.

Properties
DOS at the Fermi energy ... 4.30 states/eV/f.u.
Size of the total moment ... 7.57 μB per cell
Density ... 2.52 g cm⁻³
Energy ... -3.002 eV per atom

a b c (Å): 4.6709 4.6709 4.4360
angles (deg): 90.00 90.00 90.00
With the nearest neighbours (Å) after each atom.
Element x y z (fractional)
1 Na 0.0000 0.0000 0.0000  2 O 2.22, 4 N 2.34
2 Br 0.5000 0.5000 0.5000  8 N 3.22, 4 O 3.30
3 N 0.0000 0.5000 0.0000  2 Na 2.34
4 N 0.5000 0.0000 0.0000  2 Na 2.34
5 O 0.0000 0.0000 0.5000  2 Na 2.22

***

The following is a DFT calculation (PBEsol) of Li3Ag after structural relaxation.

Properties
DOS at the Fermi energy ... 1.46 states/eV/f.u.
E_form ... -0.103 eV/atom
Size of the total moment ... 0.00 μB per cell
Density ... 3.26 g cm⁻³
Excess energy over the best structure of this formula in the dataset ... 0.024 eV/atom
Energy ... -2.406 eV per atom

a b c (Å): 2.8467 4.6290 4.9718
angles (deg): 90.00 90.00 90.00
With the nearest neighbours (Å) after each atom.
Element x y z (fractional)
1 Li 0.0000 0.0000 0.0000  8 Li 2.85-2.88, 4 Ag 2.85-2.88
2 Li 0.0000 0.5000 0.3336  8 Li 2.75-2.98, 4 Ag 2.84
3 Li 0.5000 0.5000 0.8069  10 Li 2.75-2.98, 2 Ag 2.78
4 Ag 0.5000 0.0000 0.4972  10 Li 2.78-2.88, 2 Ag 2.85